Computed, not measured: a relaxed structure of Ce3Ni2P2H4 at the GGA-PBE level of DFT.

```
11
Lattice="-1.945 1.945 9.963 1.945 -1.945 9.963 1.945 1.945 -9.963" Properties=species:S:1:pos:R:3 pbc="T T T"
Ce 0.000 0.000 0.000
Ce 0.000 0.000 3.394
Ce 0.000 0.000 16.532
Ni 0.000 0.000 8.551
Ni 0.000 0.000 11.375
P 0.000 0.000 6.192
P 0.000 0.000 13.734
H 1.945 0.000 1.503
H 1.945 0.000 8.460
H 0.000 1.945 1.503
H 0.000 1.945 8.460
```

Calculated values
**Symmetry**: No. 139
**ρ**: 6.65 g/cm3
**D(E_F)**: 13.221 states/eV/cell
**DFT total energy**: -0.4070 Ry per atom



Computed, not measured: a relaxed structure of CeNiPH at the GGA-PBE level of DFT.

```
8
Lattice="3.934 0.000 0.000 0.000 3.934 0.000 0.000 0.000 7.087" Properties=species:S:1:pos:R:3 pbc="T T T"
Ce 0.983 0.983 1.252
Ce 2.950 2.950 5.835
Ni 0.983 2.950 3.544
Ni 2.950 0.983 3.544
P 0.983 0.983 4.783
P 2.950 2.950 2.304
H 0.983 2.950 0.000
H 2.950 0.983 0.000
```

Calculated values
**Symmetry**: No. 129
**ρ**: 6.99 g/cm3
**D(E_F)**: 6.172 states/eV/cell
**DFT total energy**: -0.4452 Ry per atom



Computed, not measured: a relaxed structure of CeNiPH2 at the GGA-PBE level of DFT.

```
10
Lattice="1.903 -5.054 0.000 1.903 5.054 0.000 0.000 0.000 6.054" Properties=species:S:1:pos:R:3 pbc="T T T"
Ce 1.903 2.873 4.541
Ce 1.903 -2.873 1.514
Ni 1.903 0.000 0.000
Ni 1.903 0.000 3.027
P 1.903 4.427 1.514
P 1.903 -4.427 4.541
H 1.903 1.582 0.385
H 1.903 1.582 2.642
H 1.903 -1.582 3.412
H 1.903 -1.582 5.669
```

Calculated values
**Symmetry**: No. 63
**ρ**: 6.61 g/cm3
**D(E_F)**: 9.199 states/eV/cell
**DFT total energy**: -0.3971 Ry per atom